1.
LaPm2Ho3Te6: optimized geometry, PBE.

a b c (Å): 19.373 4.382 8.929
angles (deg): 90.00 104.74 90.00
Space group C2/m (No. 12)
Unique sites:
La  0.000  0.000  0.000 x2
Pm  0.168  0.500  0.335 x4
Ho  0.000  0.000  0.500 x2
Ho  0.165  0.500  0.832 x4
Te  0.001  0.500  0.738 x4
Te  0.164  0.000  0.590 x4
Te  0.172  0.000  0.078 x4

DOS(E_F) = 0.526 states/eV/atom
electronic total energy = -5.28 eV/atom

2.
KZnSi2Tc: optimized geometry, PBE.

a b c (Å): 4.663 4.663 5.076
angles (deg): 90.00 90.00 90.00
Space group P4/mmm (No. 123)
Unique sites:
K  0.000  0.000  0.000 x1
Zn  0.500  0.500  0.000 x1
Si  0.000  0.500  0.500 x2
Tc  0.500  0.500  0.500 x1

DOS(E_F) = 0.179 states/eV/atom
electronic total energy = -4.74 eV/atom

3.
KFe2Te: optimized geometry, PBE.

a b c (Å): 7.661 4.423 6.764
angles (deg): 90.00 112.78 90.00
Space group C2/m (No. 12)
Unique sites:
K  0.000  0.000  0.000 x2
Fe  0.171  0.000  0.514 x4
Te  0.000  0.500  0.500 x2

DOS(E_F) = 0.372 states/eV/atom
electronic total energy = -5.09 eV/atom

4.
CrH: optimized geometry, PBE.

a b c (Å): 5.402 5.492 7.810
angles (deg): 90.00 90.00 90.00
Space group Fddd (No. 70, origin choice 2)
Unique sites:
Cr  0.096  0.375  0.375 x16
H  0.125  0.125  0.505 x16

DOS(E_F) = 0.826 states/eV/atom
electronic total energy = -6.36 eV/atom

5.
Sc3Co9GeC2: optimized geometry, PBE.

a b c (Å): 5.2500 5.2500 7.9295
angles (deg): 90.00 90.00 120.00
Space group P-3m1 (No. 164)
Unique sites:
Sc  0.0000  0.0000  0.0000 x1
Sc  0.3333  0.6667  0.6237 x2
Co  0.0000  0.5000  0.0000 x3
Co  0.1643  0.3287  0.2723 x6
Ge  0.0000  0.0000  0.5000 x1
C  0.3333  0.6667  0.1450 x2

DOS(E_F) = 1.086 states/eV/atom
energy of formation from the pure elements = -3.251 eV per formula unit

6.
Cd4Ag: optimized geometry, PBE.

a b c (Å): 5.342 5.342 5.342
angles (deg): 90.00 90.00 90.00
Space group Pm-3m (No. 221)
Unique sites:
Cd  0.000  0.000  0.000 x1
Cd  0.000  0.500  0.500 x3
Ag  0.500  0.500  0.500 x1

DOS(E_F) = 0.330 states/eV/atom
energy of formation from the pure elements = 1.282 eV per formula unit

7.
BrO2F3: optimized geometry, PBE.

a b c (Å): 7.835 9.927 6.047
angles (deg): 90.00 90.53 90.00
Space group C2/c (No. 15)
Unique sites:
Br  0.000  0.114  0.250 x4
O  0.074  0.412  0.786 x8
F  0.000  0.293  0.250 x4
F  0.085  0.123  0.542 x8

electronic total energy = -3.43 eV/atom

The M_tot results, record by record, are as follows: 0.000; 0.000; 4.619; 0.000; 3.958; 0.000; 2.000 μB per formula unit.